Density functional theory data (GGA-PBE) for a relaxed La2TlGe3Pt4 crystal.

Cell lengths 4.4419, 4.4419, 10.6048 Å; angles 90.00, 90.00, 90.00 degrees
Fractional coordinates of all 10 atoms:
1 La 0.5000 0.0000 0.2417
2 La 0.0000 0.5000 0.7583
3 Tl 0.5000 0.5000 0.5000
4 Ge 0.0000 0.0000 0.5000
5 Ge 0.5000 0.0000 0.8808
6 Ge 0.0000 0.5000 0.1192
7 Pt 0.5000 0.5000 0.0000
8 Pt 0.0000 0.0000 0.0000
9 Pt 0.5000 0.0000 0.6510
10 Pt 0.0000 0.5000 0.3490

Output
DOS(E_F)	4.00	states/eV per cell
E_form	-0.84	eV/atom
E	-58.6	eV per formula unit